1.
# CuSiAs2 | the Alexandria database | PBEsol | optimized geometry
# Total magnetization, μB per atom: 0.000
# ρ, g/cm3: 5.0
# Formation energy without anion corrections, eV/atom: 0.014
# Uncorrected energy, eV per atom: -5.060
data_CuSiAs2
_symmetry_space_group_name_H-M 'I -4 2 d'
_symmetry_Int_Tables_number 122
_symmetry_space_group_name_Hall 'I -4 2bw'
_cell_length_a 5.505
_cell_length_b 5.505
_cell_length_c 10.636
_cell_angle_alpha 90.00
_cell_angle_beta 90.00
_cell_angle_gamma 90.00
loop_
_atom_site_label
_atom_site_type_symbol
_atom_site_fract_x
_atom_site_fract_y
_atom_site_fract_z
Cu1 Cu 0.000 0.000 0.000
Si1 Si 0.000 0.000 0.500
As1 As 0.243 0.250 0.125

=====

2.
# CuSiAs2 | the Alexandria database | PBEsol | optimized geometry
# Total magnetization, μB per atom: 0.000
# ρ, g/cm3: 6.2
# Formation energy without anion corrections, eV/atom: 0.400
# Uncorrected energy, eV per atom: -4.674
data_CuSiAs2
_symmetry_space_group_name_H-M 'I -4 m 2'
_symmetry_Int_Tables_number 119
_symmetry_space_group_name_Hall 'I -4 -2'
_cell_length_a 3.624
_cell_length_b 3.624
_cell_length_c 9.885
_cell_angle_alpha 90.00
_cell_angle_beta 90.00
_cell_angle_gamma 90.00
loop_
_atom_site_label
_atom_site_type_symbol
_atom_site_fract_x
_atom_site_fract_y
_atom_site_fract_z
Cu1 Cu 0.000 0.000 0.000
Si1 Si 0.000 0.500 0.250
As1 As 0.000 0.000 0.500
As2 As 0.000 0.500 0.750

=====

3.
# CuSiAs2 | the Alexandria database | PBEsol | optimized geometry
# Total magnetization, μB per atom: 0.000
# ρ, g/cm3: 6.4
# Formation energy without anion corrections, eV/atom: 0.393
# Uncorrected energy, eV per atom: -4.681
data_CuSiAs2
_symmetry_space_group_name_H-M 'F m -3 m'
_symmetry_Int_Tables_number 225
_symmetry_space_group_name_Hall '-F 4 2 3'
_cell_length_a 6.301
_cell_length_b 6.301
_cell_length_c 6.301
_cell_angle_alpha 90.00
_cell_angle_beta 90.00
_cell_angle_gamma 90.00
loop_
_atom_site_label
_atom_site_type_symbol
_atom_site_fract_x
_atom_site_fract_y
_atom_site_fract_z
Cu1 Cu 0.000 0.000 0.000
Si1 Si 0.000 0.000 0.500
As1 As 0.250 0.250 0.250

=====

4.
# CuSi2TeAs | the Alexandria database | PBEsol | optimized geometry
# Total magnetization, μB per atom: 0.000
# ρ, g/cm3: 5.2
# Formation energy without anion corrections, eV/atom: 0.635
# Uncorrected energy, eV per atom: -4.257
data_CuSi2TeAs
_symmetry_space_group_name_H-M 'P 4/m m m'
_symmetry_Int_Tables_number 123
_symmetry_space_group_name_Hall '-P 4 2'
_cell_length_a 4.396
_cell_length_b 4.396
_cell_length_c 5.326
_cell_angle_alpha 90.00
_cell_angle_beta 90.00
_cell_angle_gamma 90.00
loop_
_atom_site_label
_atom_site_type_symbol
_atom_site_fract_x
_atom_site_fract_y
_atom_site_fract_z
Cu1 Cu 0.000 0.000 0.000
Si1 Si 0.000 0.500 0.000
Te1 Te 0.000 0.000 0.500
As1 As 0.500 0.500 0.500

=====

5.
# TiCuSiAs | the Alexandria database | PBEsol | optimized geometry
# Total magnetization, μB per atom: 0.000
# ρ, g/cm3: 6.3
# Formation energy without anion corrections, eV/atom: -0.542
# Uncorrected energy, eV per atom: -6.419
data_TiCuSiAs
_symmetry_space_group_name_H-M 'P 4/n m m'
_symmetry_Int_Tables_number 129
_cell_length_a 3.529
_cell_length_b 3.529
_cell_length_c 9.106
_cell_angle_alpha 90.00
_cell_angle_beta 90.00
_cell_angle_gamma 90.00
loop_
_symmetry_equiv_pos_as_xyz
'x,y,z'
'-x,-y,-z'
'-y+1/2,x,z'
'y+1/2,-x,-z'
'-x+1/2,-y+1/2,z'
'x+1/2,y+1/2,-z'
'y,-x+1/2,z'
'-y,x+1/2,-z'
'x+1/2,-y,-z'
'-x+1/2,y,z'
'-y,-x,-z'
'y,x,z'
'-x,y+1/2,-z'
'x,-y+1/2,z'
'y+1/2,x+1/2,-z'
'-y+1/2,-x+1/2,z'
loop_
_atom_site_label
_atom_site_type_symbol
_atom_site_fract_x
_atom_site_fract_y
_atom_site_fract_z
Ti1 Ti 0.250 0.250 0.219
Cu1 Cu 0.250 0.750 0.500
Si1 Si 0.250 0.750 0.000
As1 As 0.250 0.250 0.692

=====

6.
# ZrCuSiAs | the Alexandria database | PBEsol | optimized geometry
# Total magnetization, μB per atom: 0.000
# ρ, g/cm3: 6.8
# Formation energy without anion corrections, eV/atom: -0.686
# Uncorrected energy, eV per atom: -6.756
data_ZrCuSiAs
_symmetry_space_group_name_H-M 'P 4/n m m'
_symmetry_Int_Tables_number 129
_cell_length_a 3.638
_cell_length_b 3.638
_cell_length_c 9.510
_cell_angle_alpha 90.00
_cell_angle_beta 90.00
_cell_angle_gamma 90.00
loop_
_symmetry_equiv_pos_as_xyz
'x,y,z'
'-x,-y,-z'
'-y+1/2,x,z'
'y+1/2,-x,-z'
'-x+1/2,-y+1/2,z'
'x+1/2,y+1/2,-z'
'y,-x+1/2,z'
'-y,x+1/2,-z'
'x+1/2,-y,-z'
'-x+1/2,y,z'
'-y,-x,-z'
'y,x,z'
'-x,y+1/2,-z'
'x,-y+1/2,z'
'y+1/2,x+1/2,-z'
'-y+1/2,-x+1/2,z'
loop_
_atom_site_label
_atom_site_type_symbol
_atom_site_fract_x
_atom_site_fract_y
_atom_site_fract_z
Zr1 Zr 0.250 0.250 0.224
Cu1 Cu 0.250 0.750 0.500
Si1 Si 0.250 0.750 0.000
As1 As 0.250 0.250 0.679

=====

7.
# Sm2Cu3As3 | the Alexandria database | PBEsol | optimized geometry
# Total magnetization, μB per atom: 0.000
# ρ, g/cm3: 8.2
# Uncorrected energy, eV per atom: -5.617
# Energy relative to the elements, eV per atom: -0.804
data_Sm2Cu3As3
_symmetry_space_group_name_H-M 'P n m a'
_symmetry_Int_Tables_number 62
_cell_length_a 13.230
_cell_length_b 4.001
_cell_length_c 10.958
_cell_angle_alpha 90.00
_cell_angle_beta 90.00
_cell_angle_gamma 90.00
loop_
_symmetry_equiv_pos_as_xyz
'x,y,z'
'-x,-y,-z'
'-x+1/2,-y,z+1/2'
'x+1/2,y,-z+1/2'
'x+1/2,-y+1/2,-z+1/2'
'-x+1/2,y+1/2,z+1/2'
'-x,y+1/2,-z'
'x,-y+1/2,z'
loop_
_atom_site_label
_atom_site_type_symbol
_atom_site_fract_x
_atom_site_fract_y
_atom_site_fract_z
Sm1 Sm 0.003 0.250 0.158
Sm2 Sm 0.203 0.750 0.570
Cu1 Cu 0.015 0.250 0.608
Cu2 Cu 0.165 0.750 0.277
Cu3 Cu 0.226 0.750 0.858
As1 As 0.094 0.250 0.401
As2 As 0.134 0.750 0.057
As3 As 0.147 0.250 0.767

=====

8.
# SmZnCuAs2 | the Alexandria database | PBEsol | optimized geometry
# Total magnetization, μB per atom: 0.000
# ρ, g/cm3: 7.3
# Uncorrected energy, eV per atom: -4.922
# Energy relative to the elements, eV per atom: -0.678
data_SmZnCuAs2
_symmetry_space_group_name_H-M 'P 3 m 1'
_symmetry_Int_Tables_number 156
_cell_length_a 4.0962
_cell_length_b 4.0962
_cell_length_c 6.7015
_cell_angle_alpha 90.00
_cell_angle_beta 90.00
_cell_angle_gamma 120.00
loop_
_symmetry_equiv_pos_as_xyz
'x,y,z'
'-y,x-y,z'
'-x+y,-x,z'
'-y,-x,z'
'-x+y,y,z'
'x,x-y,z'
loop_
_atom_site_label
_atom_site_type_symbol
_atom_site_fract_x
_atom_site_fract_y
_atom_site_fract_z
Sm1 Sm 0.0000 0.0000 0.0000
Zn1 Zn 0.3333 0.6667 0.6131
Cu1 Cu 0.6667 0.3333 0.3400
As1 As 0.3333 0.6667 0.2448
As2 As 0.6667 0.3333 0.7275

=====

9.
# Cu2SnAs2 | the Alexandria database | PBEsol | optimized geometry
# Total magnetization, μB per atom: 0.000
# ρ, g/cm3: 7.5
# Uncorrected energy, eV per atom: -4.486
# Energy relative to the elements, eV per atom: 0.142
data_Cu2SnAs2
_symmetry_space_group_name_H-M 'I 4/m m m'
_symmetry_Int_Tables_number 139
_symmetry_space_group_name_Hall '-I 4 2'
_cell_length_a 3.963
_cell_length_b 3.963
_cell_length_c 11.136
_cell_angle_alpha 90.00
_cell_angle_beta 90.00
_cell_angle_gamma 90.00
loop_
_atom_site_label
_atom_site_type_symbol
_atom_site_fract_x
_atom_site_fract_y
_atom_site_fract_z
Cu1 Cu 0.000 0.000 0.108
Sn1 Sn 0.000 0.000 0.500
As1 As 0.000 0.500 0.250

=====

10.
# CuSn2As2 | the Alexandria database | PBEsol | optimized geometry
# Total magnetization, μB per atom: 0.000
# ρ, g/cm3: 6.9
# Uncorrected energy, eV per atom: -4.593
# Energy relative to the elements, eV per atom: 0.020
data_CuSn2As2
_symmetry_space_group_name_H-M 'P 4/m b m'
_symmetry_Int_Tables_number 127
_symmetry_space_group_name_Hall '-P 4 2ab'
_cell_length_a 6.181
_cell_length_b 6.181
_cell_length_c 5.657
_cell_angle_alpha 90.00
_cell_angle_beta 90.00
_cell_angle_gamma 90.00
loop_
_atom_site_label
_atom_site_type_symbol
_atom_site_fract_x
_atom_site_fract_y
_atom_site_fract_z
Cu1 Cu 0.000 0.000 0.000
Sn1 Sn 0.207 0.293 0.500
As1 As 0.141 0.359 0.000

=====

11.
# CuSn2As2 | the Alexandria database | PBEsol | optimized geometry
# Total magnetization, μB per atom: 0.000
# ρ, g/cm3: 6.9
# Uncorrected energy, eV per atom: -4.330
# Energy relative to the elements, eV per atom: 0.283
data_CuSn2As2
_symmetry_space_group_name_H-M 'I 4/m m m'
_symmetry_Int_Tables_number 139
_symmetry_space_group_name_Hall '-I 4 2'
_cell_length_a 3.575
_cell_length_b 3.575
_cell_length_c 16.910
_cell_angle_alpha 90.00
_cell_angle_beta 90.00
_cell_angle_gamma 90.00
loop_
_atom_site_label
_atom_site_type_symbol
_atom_site_fract_x
_atom_site_fract_y
_atom_site_fract_z
Cu1 Cu 0.000 0.000 0.000
Sn1 Sn 0.000 0.000 0.409
As1 As 0.000 0.500 0.250

=====

12.
# CuSn3As | the Alexandria database | PBEsol | optimized geometry
# Total magnetization, μB per atom: 0.000
# ρ, g/cm3: 5.7
# Uncorrected energy, eV per atom: -3.556
# Energy relative to the elements, eV per atom: 0.888
data_CuSn3As
_symmetry_space_group_name_H-M 'P m -3 m'
_symmetry_Int_Tables_number 221
_symmetry_space_group_name_Hall '-P 4 2 3'
_cell_length_a 5.231
_cell_length_b 5.231
_cell_length_c 5.231
_cell_angle_alpha 90.00
_cell_angle_beta 90.00
_cell_angle_gamma 90.00
loop_
_atom_site_label
_atom_site_type_symbol
_atom_site_fract_x
_atom_site_fract_y
_atom_site_fract_z
Cu1 Cu 0.000 0.000 0.000
Sn1 Sn 0.000 0.500 0.500
As1 As 0.500 0.500 0.500

=====

13.
# CuSnAs2 | the Alexandria database | PBEsol | optimized geometry
# Total magnetization, μB per atom: 0.000
# ρ, g/cm3: 5.9
# Uncorrected energy, eV per atom: -4.673
# Energy relative to the elements, eV per atom: 0.028
data_CuSnAs2
_symmetry_space_group_name_H-M 'I -4 2 d'
_symmetry_Int_Tables_number 122
_symmetry_space_group_name_Hall 'I -4 2bw'
_cell_length_a 5.713
_cell_length_b 5.713
_cell_length_c 11.524
_cell_angle_alpha 90.00
_cell_angle_beta 90.00
_cell_angle_gamma 90.00
loop_
_atom_site_label
_atom_site_type_symbol
_atom_site_fract_x
_atom_site_fract_y
_atom_site_fract_z
Cu1 Cu 0.000 0.000 0.000
Sn1 Sn 0.000 0.000 0.500
As1 As 0.204 0.250 0.125

=====

14.
# SrCu4As2 | the Alexandria database | PBEsol | optimized geometry
# Total magnetization, μB per atom: 0.000
# ρ, g/cm3: 7.1
# Uncorrected energy, eV per atom: -4.556
# Energy relative to the elements, eV per atom: -0.357
data_SrCu4As2
_symmetry_space_group_name_H-M 'R -3 m'
_symmetry_Int_Tables_number 166
_symmetry_space_group_name_Hall '-R 3 2"'
_cell_length_a 4.1216
_cell_length_b 4.1216
_cell_length_c 23.3319
_cell_angle_alpha 90.00
_cell_angle_beta 90.00
_cell_angle_gamma 120.00
loop_
_atom_site_label
_atom_site_type_symbol
_atom_site_fract_x
_atom_site_fract_y
_atom_site_fract_z
Sr1 Sr 0.0000 0.0000 0.0000
Cu1 Cu 0.0000 0.0000 0.1444
Cu2 Cu 0.0000 0.0000 0.4413
As1 As 0.0000 0.0000 0.2482

=====

15.
# SrCu2As2 | the Alexandria database | PBEsol | optimized geometry
# Total magnetization, μB per atom: 0.000
# ρ, g/cm3: 6.5
# Uncorrected energy, eV per atom: -4.539
# Energy relative to the elements, eV per atom: -0.395
data_SrCu2As2
_symmetry_space_group_name_H-M 'I 4/m m m'
_symmetry_Int_Tables_number 139
_symmetry_space_group_name_Hall '-I 4 2'
_cell_length_a 4.426
_cell_length_b 4.426
_cell_length_c 9.485
_cell_angle_alpha 90.00
_cell_angle_beta 90.00
_cell_angle_gamma 90.00
loop_
_atom_site_label
_atom_site_type_symbol
_atom_site_fract_x
_atom_site_fract_y
_atom_site_fract_z
Sr1 Sr 0.000 0.000 0.000
Cu1 Cu 0.000 0.000 0.367
As1 As 0.000 0.500 0.250

=====

16.
# SrCuAs | the Alexandria database | PBEsol | optimized geometry
# Total magnetization, μB per atom: 0.000
# ρ, g/cm3: 5.7
# Uncorrected energy, eV per atom: -4.548
# Energy relative to the elements, eV per atom: -0.787
data_SrCuAs
_symmetry_space_group_name_H-M 'P -6 m 2'
_symmetry_Int_Tables_number 187
_symmetry_space_group_name_Hall 'P -6 2'
_cell_length_a 4.1697
_cell_length_b 4.1697
_cell_length_c 4.3468
_cell_angle_alpha 90.00
_cell_angle_beta 90.00
_cell_angle_gamma 120.00
loop_
_atom_site_label
_atom_site_type_symbol
_atom_site_fract_x
_atom_site_fract_y
_atom_site_fract_z
Sr1 Sr 0.0000 0.0000 0.0000
Cu1 Cu 0.6667 0.3333 0.5000
As1 As 0.3333 0.6667 0.5000

=====

17.
# SrCuAs | the Alexandria database | PBEsol | optimized geometry
# Total magnetization, μB per atom: 0.000
# ρ, g/cm3: 5.8
# Uncorrected energy, eV per atom: -4.571
# Energy relative to the elements, eV per atom: -0.810
data_SrCuAs
_symmetry_space_group_name_H-M 'P 63/m m c'
_symmetry_Int_Tables_number 194
_symmetry_space_group_name_Hall '-P 6c 2c'
_cell_length_a 4.2069
_cell_length_b 4.2069
_cell_length_c 8.4827
_cell_angle_alpha 90.00
_cell_angle_beta 90.00
_cell_angle_gamma 120.00
loop_
_atom_site_label
_atom_site_type_symbol
_atom_site_fract_x
_atom_site_fract_y
_atom_site_fract_z
Sr1 Sr 0.0000 0.0000 0.0000
Cu1 Cu 0.3333 0.6667 0.2500
As1 As 0.3333 0.6667 0.7500

=====

18.
# SrCu2As2 | the Alexandria database | PBEsol | optimized geometry
# Total magnetization, μB per atom: 0.000
# ρ, g/cm3: 6.6
# Uncorrected energy, eV per atom: -4.675
# Energy relative to the elements, eV per atom: -0.530
data_SrCu2As2
_symmetry_space_group_name_H-M 'I 4/m m m'
_symmetry_Int_Tables_number 139
_symmetry_space_group_name_Hall '-I 4 2'
_cell_length_a 4.128
_cell_length_b 4.128
_cell_length_c 10.815
_cell_angle_alpha 90.00
_cell_angle_beta 90.00
_cell_angle_gamma 90.00
loop_
_atom_site_label
_atom_site_type_symbol
_atom_site_fract_x
_atom_site_fract_y
_atom_site_fract_z
Sr1 Sr 0.000 0.000 0.000
Cu1 Cu 0.000 0.500 0.250
As1 As 0.000 0.000 0.371

=====

19.
# Ta2CuAs | the Alexandria database | PBEsol | optimized geometry
# Total magnetization, μB per atom: 0.000
# ρ, g/cm3: 13.5
# Uncorrected energy, eV per atom: -8.647
# Energy relative to the elements, eV per atom: -0.011
data_Ta2CuAs
_symmetry_space_group_name_H-M 'I 4/m m m'
_symmetry_Int_Tables_number 139
_symmetry_space_group_name_Hall '-I 4 2'
_cell_length_a 4.109
_cell_length_b 4.109
_cell_length_c 7.267
_cell_angle_alpha 90.00
_cell_angle_beta 90.00
_cell_angle_gamma 90.00
loop_
_atom_site_label
_atom_site_type_symbol
_atom_site_fract_x
_atom_site_fract_y
_atom_site_fract_z
Ta1 Ta 0.000 0.500 0.250
Cu1 Cu 0.000 0.000 0.000
As1 As 0.000 0.000 0.500

=====

20.
# Ta2CuAs | the Alexandria database | PBEsol | optimized geometry
# Total magnetization, μB per atom: 0.000
# ρ, g/cm3: 13.6
# Uncorrected energy, eV per atom: -8.661
# Energy relative to the elements, eV per atom: -0.025
data_Ta2CuAs
_symmetry_space_group_name_H-M 'C 1 2/m 1'
_symmetry_Int_Tables_number 12
_cell_length_a 5.773
_cell_length_b 6.935
_cell_length_c 3.053
_cell_angle_alpha 90.00
_cell_angle_beta 90.18
_cell_angle_gamma 90.00
loop_
_symmetry_equiv_pos_as_xyz
'x,y,z'
'-x,-y,-z'
'-x,y,-z'
'x,-y,z'
'x+1/2,y+1/2,z'
'-x+1/2,-y+1/2,-z'
'-x+1/2,y+1/2,-z'
'x+1/2,-y+1/2,z'
loop_
_atom_site_label
_atom_site_type_symbol
_atom_site_fract_x
_atom_site_fract_y
_atom_site_fract_z
Ta1 Ta 0.250 0.250 0.000
Cu1 Cu 0.000 0.000 0.500
As1 As 0.000 0.500 0.500